# 1
6
Lattice="3.561 -0.010 -0.008 0.015 5.075 0.133 0.020 1.893 7.893" Properties=species:S:1:pos:R:3 comment="CeDyTc | the Alexandria database | GGA-PBE | relaxed" ef_ev_per_atom=-0.05 dos_ef_per_ev_fu=2.58 space_group="P2_1/m, No. 11" magmom_total_mub_per_cell=0.0 pbc="T T T"
Ce 0.088 1.843 0.505
Ce 1.894 6.101 7.910
Dy 0.105 5.240 5.165
Dy 1.877 2.703 3.250
Tc 1.880 2.716 6.161
Tc 0.102 5.227 2.254

=====

# 2
14
Lattice="-4.424 1.329 -4.510 -5.318 -4.910 3.770 -0.200 7.359 2.364" Properties=species:S:1:pos:R:3 comment="CeDy4Tc2 | the Alexandria database | GGA-PBE | relaxed" ef_ev_per_atom=-0.02 dos_ef_per_ev_fu=6.95 space_group="P2_1/m, No. 11" magmom_total_mub_per_cell=0.0 pbc="T T T"
Ce -5.638 3.313 4.197
Ce -4.303 0.464 -2.572
Dy -4.558 4.225 1.055
Dy -2.501 1.433 0.566
Dy -7.440 2.344 1.059
Dy -6.731 4.878 -1.160
Dy -3.459 3.758 -2.431
Dy -3.211 -1.100 2.785
Dy -5.384 -0.447 0.570
Dy -6.483 0.020 4.055
Tc -2.710 6.217 2.179
Tc -7.232 -2.439 -0.555
Tc -5.273 2.076 -1.146
Tc -4.668 1.702 2.770

=====

# 3
4
Lattice="-1.174 -0.217 4.313 -2.027 -2.623 -3.006 5.793 -3.425 -0.917" Properties=species:S:1:pos:R:3 comment="CeDyTmTc | the Alexandria database | GGA-PBE | relaxed" ef_ev_per_atom=0.11 dos_ef_per_ev_fu=5.07 space_group="R3m, No. 160" magmom_total_mub_per_cell=0.0 pbc="T T T"
Ce -1.125 -2.159 0.213
Dy 2.085 -1.841 1.104
Tm 1.906 -5.266 0.882
Tc -1.013 -1.179 2.616